{"formula": "HPd2S", "functional": "PBE", "state": "optimized geometry", "final_energy_ev_per_atom": -4.378, "sg": "R-3m", "lattice_angstrom": [[4.114, 0.000, 0.000], [2.057, 3.563, 0.000], [2.057, 1.188, 4.700]], "species": ["Pd", "Pd", "S", "H"], "frac_coords": [[0.119, 0.119, 0.643], [0.881, 0.881, 0.357], [0.500, 0.500, 0.500], [0.000, 0.000, 0.000]]}